1.
The following is a DFT calculation (PBE) of an optimized crystal structure of KLi2Br.

Offset from the most stable computed form, eV/atom: 0.321
ΔE_f (raw), eV per atom: -0.349
Electronic total energy, eV/atom: -1.9980

Lattice parameters (Å, degrees): 8.0521 8.0521 8.0521 90.00 90.00 90.00
Closest atoms and distances in Å follow each position.
Space group F-43m (No. 216)
Asymmetric unit:
K 0.0000 0.0000 0.0000  4 Li 3.49, 4 Br 3.49
Li 0.0000 0.0000 0.5000  4 Br 3.49, 4 Li 3.49
Li 0.2500 0.2500 0.2500  4 Li 3.49, 4 K 3.49
Br 0.2500 0.2500 0.7500  4 K 3.49, 4 Li 3.49

2.
The following is a DFT calculation (PBE) of an optimized crystal structure of K2LiBr.

Offset from the most stable computed form, eV/atom: 0.059
ΔE_f (raw), eV per atom: -0.652
Electronic total energy, eV/atom: -2.0974

Lattice parameters (Å, degrees): 4.3426 7.5855 11.2918 90.00 90.00 90.00
Closest atoms and distances in Å follow each position.
Space group Cmm2 (No. 35)
Asymmetric unit:
K 0.0000 0.0000 0.0000  2 Br 3.36
K 0.0000 0.5000 0.3532  2 Li 4.05, 6 K 4.34-4.37
Li 0.0000 0.0000 0.6556  2 Br 2.55
Br 0.0000 0.5000 0.7734  2 Li 2.55

3.
The following is a DFT calculation (PBE) of an optimized crystal structure of K4Li2Br.

ΔE_f (raw), eV per atom: -0.293
Electronic total energy, eV/atom: -1.7059

Lattice parameters (Å, degrees): 6.6128 6.6128 17.4177 90.00 90.00 90.00
Closest atoms and distances in Å follow each position.
Space group I4/mmm (No. 139)
Asymmetric unit:
K 0.0000 0.0000 0.1902  1 Br 3.31, 1 Li 3.69
K 0.0000 0.5000 0.0000  2 Br 3.31
Li 0.0000 0.0000 0.4021  1 Li 3.41, 5 K 3.69-3.72
Br 0.0000 0.0000 0.0000  6 K 3.31

4.
The following is a DFT calculation (PBE) of an optimized crystal structure of KLiBr.

Offset from the most stable computed form, eV/atom: 0.034
ΔE_f (raw), eV per atom: -0.940
Electronic total energy, eV/atom: -2.5011

Lattice parameters (Å, degrees): 7.1577 4.1765 7.6725 90.00 113.26 90.00
Closest atoms and distances in Å follow each position.
Space group Pm (No. 6)
Asymmetric unit:
K 0.0000 0.0000 0.0000  3 Br 3.44-3.45
K 0.4513 0.5000 0.8733  3 Br 3.49-3.50, 3 Li 3.85-3.87
Li 0.5070 0.0000 0.4757  3 Br 2.56-2.69
Li 0.9128 0.5000 0.4711  3 Br 2.70-2.77
Br 0.2496 0.5000 0.3787  3 Li 2.69-2.77
Br 0.7052 0.0000 0.2612  3 Li 2.56-2.70

5.
The following is a DFT calculation (PBE) of an optimized crystal structure of KLiBr.

Offset from the most stable computed form, eV/atom: 0.000
ΔE_f (raw), eV per atom: -0.974
Electronic total energy, eV/atom: -2.5354

Lattice parameters (Å, degrees): 4.7067 7.1885 7.5003 113.44 100.59 105.15
Closest atoms and distances in Å follow each position.
Space group P1 (No. 1)
Asymmetric unit:
K 0.0000 0.0000 0.0000  4 Br 3.35-3.66
K 0.3617 0.3694 0.7325  4 Br 3.34-3.38
Li 0.5018 0.8534 0.4399  2 Br 2.58-2.63
Li 0.9155 0.5786 0.4368  2 Br 2.58-2.62
Br 0.0443 0.5500 0.1038  2 Li 2.62-2.63
Br 0.6787 0.1802 0.3676  2 Li 2.58

6.
The following is a DFT calculation (PBE) of an optimized crystal structure of K2LiBr.

Offset from the most stable computed form, eV/atom: 0.183
ΔE_f (raw), eV per atom: -0.528
Electronic total energy, eV/atom: -1.9735

Lattice parameters (Å, degrees): 8.6913 8.6913 8.6913 90.00 90.00 90.00
Closest atoms and distances in Å follow each position.
Space group Fm-3m (No. 225)
Asymmetric unit:
K 0.2500 0.2500 0.2500  4 Br 3.76, 4 Li 3.76
Li 0.0000 0.0000 0.0000  8 K 3.76
Br 0.0000 0.0000 0.5000  8 K 3.76

7.
The following is a DFT calculation (PBE) of an optimized crystal structure of K2LiBr.

Offset from the most stable computed form, eV/atom: 0.063
ΔE_f (raw), eV per atom: -0.649
Electronic total energy, eV/atom: -2.0939

Lattice parameters (Å, degrees): 4.3747 4.3747 10.6029 90.00 90.00 90.00
Closest atoms and distances in Å follow each position.
Space group P4mm (No. 99)
Asymmetric unit:
K 0.0000 0.0000 0.0000  4 Br 3.25
K 0.5000 0.5000 0.4009  1 Br 3.24
Li 0.0000 0.0000 0.6260  5 K 3.91-3.97, 4 Li 4.37
Br 0.5000 0.5000 0.0949  5 K 3.24-3.25

8.
The following is a DFT calculation (PBE) of an optimized crystal structure of KLi2Br.

Offset from the most stable computed form, eV/atom: 0.268
ΔE_f (raw), eV per atom: -0.402
Electronic total energy, eV/atom: -2.0519

Lattice parameters (Å, degrees): 4.3676 4.3676 6.7211 90.00 90.00 90.00
Closest atoms and distances in Å follow each position.
Space group P4/mmm (No. 123)
Asymmetric unit:
K 0.0000 0.0000 0.0000  2 Br 3.36, 8 Li 3.56
Li 0.5000 0.5000 0.2621  2 Li 3.20-3.52, 4 Br 3.48, 4 K 3.56
Br 0.0000 0.0000 0.5000  2 K 3.36, 8 Li 3.48

9.
The following is a DFT calculation (PBE) of an optimized crystal structure of K2LiBr.

Offset from the most stable computed form, eV/atom: 0.011
ΔE_f (raw), eV per atom: -0.701
Electronic total energy, eV/atom: -2.1460

Lattice parameters (Å, degrees): 4.4945 4.4945 30.1686 90.00 90.00 120.00
Closest atoms and distances in Å follow each position.
Space group R-3m (No. 166, hexagonal axes)
Asymmetric unit:
K 0.0000 0.0000 0.2349  3 Br 3.31
Li 0.0000 0.0000 0.0000  6 K 3.94
Br 0.0000 0.0000 0.5000  6 K 3.31

10.
The following is a DFT calculation (PBE) of an optimized crystal structure of K2LiBr4.

ΔE_f (raw), eV per atom: -1.302
Electronic total energy, eV/atom: -2.8454

Lattice parameters (Å, degrees): 5.1230 5.1230 17.3323 90.00 90.00 90.00
Closest atoms and distances in Å follow each position.
Space group I4/mmm (No. 139)
Asymmetric unit:
K 0.0000 0.0000 0.1423  9 Br 3.29-3.65
Li 0.0000 0.0000 0.5000  4 Br 2.56
Br 0.0000 0.0000 0.3320  1 Li 2.91
Br 0.0000 0.5000 0.0000  2 Li 2.56

11.
The following is a DFT calculation (PBE) of an optimized crystal structure of K4LiBr.

ΔE_f (raw), eV per atom: -0.091
Electronic total energy, eV/atom: -1.4200

Lattice parameters (Å, degrees): 11.1701 11.1701 11.1701 90.00 90.00 90.00
Closest atoms and distances in Å follow each position.
Space group F-43m (No. 216)
Asymmetric unit:
K 0.1253 0.1253 0.1253  6 K 3.94-3.96
Li 0.2500 0.2500 0.7500  12 K 4.63, 4 Br 4.84
Br 0.0000 0.0000 0.5000  12 K 4.63, 4 Li 4.84

12.
The following is a DFT calculation (PBE) of an optimized crystal structure of KLiBr2.

ΔE_f (raw), eV per atom: -0.976
Electronic total energy, eV/atom: -2.5658

Lattice parameters (Å, degrees): 7.8075 7.8075 7.8075 90.00 90.00 90.00
Closest atoms and distances in Å follow each position.
Space group F-43m (No. 216)
Asymmetric unit:
K 0.0000 0.0000 0.0000  4 Br 3.38, 4 Li 3.38
Li 0.2500 0.2500 0.2500  4 K 3.38, 4 Br 3.38
Br 0.0000 0.0000 0.5000  4 Li 3.38, 4 Br 3.38
Br 0.2500 0.2500 0.7500  4 K 3.38, 4 Br 3.38

no.,total magnetization (μB/f.u.)
1,0.0
2,0.0
3,0.0
4,0.0
5,0.0
6,0.0
7,0.0
8,0.0
9,0.0
10,1.0
11,0.3
12,0.0